[1]
Crystalline ZnCo2Pt at its relaxed geometry. Source: Alexandria via LeMat-Bulk, functional PBE.

Cell: 2.671 2.671 7.185 Å, 90.00 90.00 90.00°
Sites, in units of the cell vectors:
Zn (0.000, 0.000, 0.000)
Co (0.500, 0.500, 0.243)
Co (0.500, 0.500, 0.757)
Pt (0.000, 0.000, 0.500)

Energy of formation ... -0.02 eV per atom
Symmetry ... P4/mmm (123)
Calculated total energy ... -5.3991 eV per atom

[2]
Crystalline SrPm2Rh2 at its relaxed geometry. Source: Alexandria via LeMat-Bulk, functional PBE.

Cell: 7.190 7.207 7.603 Å, 87.69 61.84 60.10°
Sites, in units of the cell vectors:
Sr (0.151, 0.250, 0.249)
Sr (0.849, 0.750, 0.751)
Pm (0.165, 0.086, 0.749)
Pm (0.499, 0.587, 0.249)
Pm (0.501, 0.413, 0.751)
Pm (0.835, 0.914, 0.251)
Rh (0.330, 0.815, 0.986)
Rh (0.369, 0.315, 0.486)
Rh (0.631, 0.685, 0.514)
Rh (0.670, 0.185, 0.014)

Energy of formation ... -0.46 eV per atom
Symmetry ... P-1 (2)
Excess energy over the best structure of this formula in the dataset ... 18 meV per atom
Calculated total energy ... -5.6392 eV per atom

[3]
Crystalline Sr2InC at its relaxed geometry. Source: Alexandria via LeMat-Bulk, functional PBE.

Cell: 6.862 6.862 6.862 Å, 106.64 106.64 115.29°
Sites, in units of the cell vectors:
Sr (0.033, 0.625, 0.908)
Sr (0.375, 0.283, 0.408)
Sr (0.717, 0.125, 0.092)
Sr (0.875, 0.967, 0.592)
In (0.250, 0.750, 0.500)
In (0.500, 0.500, 0.000)
C (0.000, 0.000, 0.000)
C (0.750, 0.250, 0.500)

Energy of formation ... 0.58 eV per atom
Symmetry ... I-42d (122)
Calculated total energy ... -3.2530 eV per atom

[4]
Crystalline LiSc2SiC at its relaxed geometry. Source: Alexandria via LeMat-Bulk, functional PBE.

Cell: 4.446 4.446 4.041 Å, 90.00 90.00 90.00°
Sites, in units of the cell vectors:
Li (0.000, 0.000, 0.000)
Sc (0.000, 0.500, 0.500)
Sc (0.500, 0.000, 0.500)
Si (0.500, 0.500, 0.000)
C (0.000, 0.000, 0.500)

Symmetry ... P4/mmm (123)
E_form (uncorrected) ... -374 meV per atom
Calculated total energy ... -6.2187 eV per atom

[5]
Crystalline ZrMo2Ir at its relaxed geometry. Source: Alexandria via LeMat-Bulk, functional PBE.

Cell: 2.839 4.444 5.421 Å, 90.00 100.60 90.00°
Sites, in units of the cell vectors:
Zr (0.000, 0.000, 0.000)
Mo (0.259, 0.500, 0.723)
Mo (0.461, 0.000, 0.509)
Ir (0.712, 0.500, 0.246)

Energy of formation ... -0.12 eV per atom
Symmetry ... Pm (6)
Excess energy over the best structure of this formula in the dataset ... 79 meV per atom
Calculated total energy ... -9.8851 eV per atom

[6]
Crystalline Sr3TaS at its relaxed geometry. Source: Alexandria via LeMat-Bulk, functional PBE.

Cell: 5.709 5.709 5.709 Å, 90.00 90.00 90.00°
Sites, in units of the cell vectors:
Sr (0.000, 0.000, 0.500)
Sr (0.000, 0.500, 0.000)
Sr (0.500, 0.000, 0.000)
Ta (0.500, 0.500, 0.500)
S (0.000, 0.000, 0.000)

Symmetry ... Pm-3m (221)
Excess energy over the best structure of this formula in the dataset ... 0 meV per atom
E_form (uncorrected) ... 79 meV per atom
Calculated total energy ... -4.1256 eV per atom

[7]
Crystalline Be2CdBr at its relaxed geometry. Source: Alexandria via LeMat-Bulk, functional PBE.

Cell: 7.401 7.401 7.401 Å, 25.60 25.60 25.60°
Sites, in units of the cell vectors:
Be (0.250, 0.250, 0.250)
Be (0.750, 0.750, 0.750)
Cd (0.500, 0.500, 0.500)
Br (0.000, 0.000, 0.000)

Symmetry ... R-3m (166)
Excess energy over the best structure of this formula in the dataset ... 191 meV per atom
E_form (uncorrected) ... 482 meV per atom
Calculated total energy ... -2.0280 eV per atom

[8]
Crystalline BaZrMnS4 at its relaxed geometry. Source: Alexandria via LeMat-Bulk, functional PBE.

Cell: 6.339 6.713 8.487 Å, 90.00 109.10 90.00°
Sites, in units of the cell vectors:
Ba (0.243, 0.250, 0.053)
Ba (0.757, 0.750, 0.947)
Zr (0.206, 0.250, 0.548)
Zr (0.794, 0.750, 0.452)
Mn (0.241, 0.750, 0.332)
Mn (0.759, 0.250, 0.668)
S (0.025, 0.509, 0.700)
S (0.025, 0.991, 0.700)
S (0.451, 0.750, 0.159)
S (0.499, 0.750, 0.589)
S (0.501, 0.250, 0.411)
S (0.549, 0.250, 0.841)
S (0.975, 0.009, 0.300)
S (0.975, 0.491, 0.300)

Symmetry ... P2_1/m (11)
E_form (uncorrected) ... -1345 meV per atom
Calculated total energy ... -6.5094 eV per atom

[9]
Crystalline Y2HI at its relaxed geometry. Source: Alexandria via LeMat-Bulk, functional PBE.

Cell: 6.189 6.189 6.189 Å, 108.58 108.58 111.26°
Sites, in units of the cell vectors:
Y (0.011, 0.625, 0.886)
Y (0.375, 0.261, 0.386)
Y (0.739, 0.125, 0.114)
Y (0.875, 0.989, 0.614)
H (0.000, 0.000, 0.000)
H (0.750, 0.250, 0.500)
I (0.250, 0.750, 0.500)
I (0.500, 0.500, 0.000)

Symmetry ... I-42d (122)
Excess energy over the best structure of this formula in the dataset ... 60 meV per atom
Calculated total energy ... -4.9336 eV per atom

[10]
Crystalline Pm6Se5Cl at its relaxed geometry. Source: Alexandria via LeMat-Bulk, functional PBE.

Cell: 7.252 7.252 7.213 Å, 99.49 99.49 119.42°
Sites, in units of the cell vectors:
Pm (0.062, 0.410, 0.736)
Pm (0.232, 0.232, 0.251)
Pm (0.410, 0.062, 0.736)
Pm (0.590, 0.938, 0.264)
Pm (0.768, 0.768, 0.749)
Pm (0.938, 0.590, 0.264)
Se (0.000, 0.000, 0.500)
Se (0.171, 0.829, 0.000)
Se (0.342, 0.658, 0.500)
Se (0.658, 0.342, 0.500)
Se (0.829, 0.171, 0.000)
Cl (0.500, 0.500, 0.000)

Symmetry ... C2/m (12)
E_form (uncorrected) ... -1746 meV per atom
Calculated total energy ... -5.7274 eV per atom

[11]
Crystalline K2As at its relaxed geometry. Source: Alexandria via LeMat-Bulk, functional PBE.

Cell: 6.671 6.671 11.012 Å, 90.00 90.00 120.00°
Sites, in units of the cell vectors:
K (0.000, 0.000, 0.000)
K (0.000, 0.000, 0.500)
K (0.179, 0.358, 0.250)
K (0.179, 0.821, 0.250)
K (0.358, 0.179, 0.750)
K (0.642, 0.821, 0.250)
K (0.821, 0.179, 0.750)
K (0.821, 0.642, 0.750)
As (0.333, 0.667, 0.514)
As (0.333, 0.667, 0.986)
As (0.667, 0.333, 0.014)
As (0.667, 0.333, 0.486)

Energy of formation ... 0.27 eV per atom
Symmetry ... P6_3/mmc (194)
Calculated total energy ... -2.0128 eV per atom

[12]
Crystalline ScMoAu2 at its relaxed geometry. Source: Alexandria via LeMat-Bulk, functional PBE.

Cell: 5.013 5.013 2.985 Å, 90.00 90.00 108.97°
Sites, in units of the cell vectors:
Sc (0.000, 0.000, 0.000)
Mo (0.500, 0.500, 0.000)
Au (0.000, 0.500, 0.500)
Au (0.500, 0.000, 0.500)

Energy of formation ... -0.15 eV per atom
Symmetry ... Cmmm (65)
Excess energy over the best structure of this formula in the dataset ... 0 meV per atom
Calculated total energy ... -6.0826 eV per atom